This record from OQMD describes a relaxed DyLu2Ga crystal. The functional is PBE.

Output
The calculated total energy is -35.24 eV for the cell shown. As for the space group: Cmcm (63). The crystal system is orthorhombic.

abc: 6.679 6.679 5.217
angles: 90.00 90.00 120.33
Fractional coordinates of all 8 atoms:
1 Dy 0.175 0.825 0.750
2 Dy 0.825 0.175 0.250
3 Lu 0.174 0.346 0.750
4 Lu 0.346 0.174 0.250
5 Lu 0.654 0.826 0.750
6 Lu 0.826 0.654 0.250
7 Ga 0.336 0.664 0.250
8 Ga 0.664 0.336 0.750